Compound: Mn2ZnO4
Source: the Alexandria database
Functional: PBE with a Hubbard U
Structure: optimized geometry

Calculated values
Its space-group type is No. 12. The size of the total moment is 4.0 μB/cell. The offset from the most stable computed form comes out at 469 meV per atom.

Unit cell a=2.936 b=5.046 c=5.697 alpha=113.74 beta=104.93 gamma=90.00
Each line ends with the local moment (μB).
Atoms (fractional coordinates):
O: 0.647 0.304 0.295  -0.04
O: 0.860 0.165 0.720  -0.05
O: 0.353 0.696 0.705  -0.04
O: 0.140 0.835 0.280  -0.05
Mn: 0.734 0.740 0.467  2.04
Mn: 0.266 0.260 0.533  2.04
Zn: 0.000 0.000 0.000  0.01